Record 1
Here is a relaxed PmPrPdPt crystal from Alexandria. Energies are from PBE.

Calculated values
Total magnetization: 0.00 μB per formula unit
Density of states at the Fermi level: 0.966 states/eV per atom
E: -6.09 eV/atom
Calculated formation energy: -86.5 kJ/mol of atoms
Excess energy over the best structure of this formula in the dataset: 8.7 kJ per mole of atoms
Crystal system: cubic

a = 5.116 Å, b = 5.116 Å, c = 5.116 Å
α = 60.00°, β = 60.00°, γ = 60.00°
Atoms (fractional coordinates):
Pm 0.000 0.000 0.000
Pr 0.500 0.500 0.500
Pd 0.250 0.250 0.250
Pt 0.750 0.750 0.750

---

Record 2
Here is a relaxed PmPrPdPt crystal from Alexandria. Energies are from PBE.

Calculated values
Total magnetization: 0.00 μB per formula unit
Density of states at the Fermi level: 0.665 states/eV per atom
E: -6.18 eV/atom
Calculated formation energy: -95.1 kJ/mol of atoms
Excess energy over the best structure of this formula in the dataset: 0.0 kJ per mole of atoms
Crystal system: orthorhombic

a = 4.592 Å, b = 5.788 Å, c = 5.788 Å
α = 39.60°, β = 90.00°, γ = 90.00°
Atoms (fractional coordinates):
Pm 0.000 0.000 0.000
Pr 0.500 0.726 0.726
Pd 0.000 0.278 0.278
Pt 0.500 0.451 0.451

---

Record 3
Here is a relaxed PmPrPdRu crystal from Alexandria. Energies are from PBE.

Calculated values
Total magnetization: 0.00 μB per formula unit
Density of states at the Fermi level: 1.008 states/eV per atom
E: -6.43 eV/atom
Calculated formation energy: -41.4 kJ/mol of atoms
Crystal system: cubic

a = 5.046 Å, b = 5.046 Å, c = 5.046 Å
α = 60.00°, β = 60.00°, γ = 60.00°
Atoms (fractional coordinates):
Pm 0.000 0.000 0.000
Pr 0.500 0.500 0.500
Pd 0.750 0.750 0.750
Ru 0.250 0.250 0.250

---

Record 4
Here is a relaxed PmPrSiPd crystal from Alexandria. Energies are from PBE.

Calculated values
Total magnetization: 0.00 μB per formula unit
Density of states at the Fermi level: 0.586 states/eV per atom
ΔE_f (raw): -2.99 eV per formula unit
E: -5.78 eV/atom
Excess energy over the best structure of this formula in the dataset: 0.0 kJ per mole of atoms
Crystal system: orthorhombic

a = 4.297 Å, b = 5.922 Å, c = 5.922 Å
α = 41.24°, β = 90.00°, γ = 90.00°
Atoms (fractional coordinates):
Pm 0.000 0.000 0.000
Pr 0.500 0.279 0.279
Si 0.000 0.711 0.711
Pd 0.500 0.566 0.566

---

Record 5
Here is a relaxed Pm2PrSi2Pd2 crystal from Alexandria. Energies are from PBE.

Calculated values
Total magnetization: 0.00 μB per formula unit
Density of states at the Fermi level: 0.564 states/eV per atom
ΔE_f (raw): -5.35 eV per formula unit
E: -5.84 eV/atom
Crystal system: trigonal

a = 10.009 Å, b = 10.009 Å, c = 10.009 Å
α = 25.43°, β = 25.43°, γ = 25.43°
Atoms (fractional coordinates):
Pm 0.125 0.125 0.125
Pm 0.875 0.875 0.875
Pr 0.000 0.000 0.000
Si 0.260 0.260 0.260
Si 0.740 0.740 0.740
Pd 0.399 0.399 0.399
Pd 0.601 0.601 0.601

---

Record 6
Here is a relaxed PmPrSiPd crystal from Alexandria. Energies are from PBE.

Calculated values
Total magnetization: 0.00 μB per formula unit
Density of states at the Fermi level: 0.653 states/eV per atom
ΔE_f (raw): -2.46 eV per formula unit
E: -5.65 eV/atom
Excess energy over the best structure of this formula in the dataset: 12.7 kJ per mole of atoms
Crystal system: cubic

a = 5.156 Å, b = 5.156 Å, c = 5.156 Å
α = 60.00°, β = 60.00°, γ = 60.00°
Atoms (fractional coordinates):
Pm 0.000 0.000 0.000
Pr 0.500 0.500 0.500
Si 0.250 0.250 0.250
Pd 0.750 0.750 0.750